DFT (PBE-GGA) results for a geometry-optimized BPIrI structure.

Volume, Å³ per cell: 180
Relative energy among the computed polymorphs, meV per atom: 99
ΔE_f (raw), eV per atom: 0.234

Cell lengths 7.036, 2.993, 8.569 Å; angles 90.00, 94.47, 90.00 degrees
Space group Cm (No. 8)
One atom of each set of equivalent atoms:
B: 0.000 0.000 0.000 [2 per cell]
P: 0.293 0.500 0.852 [2 per cell]
Ir: 0.285 0.000 0.074 [2 per cell]
I: 0.321 0.000 0.390 [2 per cell]

=====

DFT (PBE-GGA) results for a geometry-optimized Pm2Pr12Y7 structure.

Volume, Å³ per cell: 733
Energy relative to the elements, eV per atom: 0.0430

Cell lengths 15.3196, 15.3196, 3.6040 Å; angles 90.00, 90.00, 120.00 degrees
Space group P-6 (No. 174)
One atom of each set of equivalent atoms:
Pm: 0.0000 0.0000 0.0000 [1 per cell]
Pm: 0.3333 0.6667 0.5000 [1 per cell]
Pr: 0.0511 0.2528 0.5000 [3 per cell]
Pr: 0.1288 0.7123 0.0000 [3 per cell]
Pr: 0.4152 0.1501 0.0000 [3 per cell]
Pr: 0.4932 0.3963 0.5000 [3 per cell]
Y: 0.0982 0.4779 0.0000 [3 per cell]
Y: 0.2332 0.1876 0.5000 [3 per cell]
Y: 0.6667 0.3333 0.0000 [1 per cell]

=====

DFT (PBE-GGA) results for a geometry-optimized NaV2Pt2 structure.

Volume, Å³ per cell: 162
Relative energy among the computed polymorphs, meV per atom: 0
Energy relative to the elements, eV per atom: -0.3053

Cell lengths 7.762, 7.762, 2.693 Å; angles 90.00, 90.00, 90.00 degrees
Space group P4/mbm (No. 127)
One atom of each set of equivalent atoms:
Na: 0.000 0.000 0.000 [2 per cell]
V: 0.112 0.388 0.000 [4 per cell]
Pt: 0.177 0.677 0.500 [4 per cell]

=====

DFT (PBE-GGA) results for a geometry-optimized Ba5Ag structure.

Volume, Å³ per cell: 646
Relative energy among the computed polymorphs, meV per atom: 12
Energy relative to the elements, eV per atom: -0.0521

Cell lengths 14.995, 4.330, 10.768 Å; angles 90.00, 112.55, 90.00 degrees
Space group C2/m (No. 12)
One atom of each set of equivalent atoms:
Ba: 0.000 0.000 0.000 [2 per cell]
Ba: 0.124 0.500 0.376 [4 per cell]
Ba: 0.170 0.500 0.783 [4 per cell]
Ag: 0.000 0.000 0.500 [2 per cell]

=====

DFT (PBE-GGA) results for a geometry-optimized PmInCuAg structure.

Volume, Å³ per cell: 336
Energy relative to the elements, eV per atom: -0.3116

Cell lengths 6.955, 6.955, 6.955 Å; angles 90.00, 90.00, 90.00 degrees
Space group F-43m (No. 216)
One atom of each set of equivalent atoms:
Pm: 0.000 0.000 0.000 [4 per cell]
In: 0.000 0.000 0.500 [4 per cell]
Cu: 0.250 0.250 0.250 [4 per cell]
Ag: 0.250 0.250 0.750 [4 per cell]

=====

DFT (PBE-GGA) results for a geometry-optimized SnGeBr4 structure.

Volume, Å³ per cell: 952
Relative energy among the computed polymorphs, meV per atom: 33
ΔE_f (raw), eV per atom: -0.617

Cell lengths 18.011, 5.858, 9.722 Å; angles 90.00, 111.80, 90.00 degrees
Space group C2/m (No. 12)
One atom of each set of equivalent atoms:
Sn: 0.217 0.000 0.303 [4 per cell]
Ge: 0.100 0.000 0.705 [4 per cell]
Br: 0.049 0.000 0.357 [4 per cell]
Br: 0.125 0.500 0.693 [4 per cell]
Br: 0.135 0.000 0.988 [4 per cell]
Br: 0.222 0.500 0.347 [4 per cell]

=====

DFT (PBE-GGA) results for a geometry-optimized BeCr3Pd structure.

Volume, Å³ per cell: 111
Relative energy among the computed polymorphs, meV per atom: 875
Energy relative to the elements, eV per atom: 1.6383

Cell lengths 4.809, 4.809, 4.809 Å; angles 90.00, 90.00, 90.00 degrees
Space group Pm-3m (No. 221)
One atom of each set of equivalent atoms:
Be: 0.000 0.000 0.000 [1 per cell]
Cr: 0.000 0.500 0.500 [3 per cell]
Pd: 0.500 0.500 0.500 [1 per cell]

=====

DFT (PBE-GGA) results for a geometry-optimized Tb2Er3Al structure.

Volume, Å³ per cell: 339
Relative energy among the computed polymorphs, meV per atom: 0
Energy relative to the elements, eV per atom: -0.0955

Cell lengths 4.768, 14.794, 4.811 Å; angles 90.00, 90.00, 90.00 degrees
Space group Cmmm (No. 65)
One atom of each set of equivalent atoms:
Tb: 0.000 0.159 0.000 [4 per cell]
Er: 0.000 0.000 0.500 [2 per cell]
Er: 0.000 0.335 0.500 [4 per cell]
Al: 0.000 0.500 0.000 [2 per cell]

=====

DFT (PBE-GGA) results for a geometry-optimized VWI2N structure.

Volume, Å³ per cell: 120
Relative energy among the computed polymorphs, meV per atom: 0
ΔE_f (raw), eV per atom: 1.010

Cell lengths 5.596, 5.596, 3.817 Å; angles 90.00, 90.00, 90.00 degrees
Space group P4/mmm (No. 123)
One atom of each set of equivalent atoms:
V: 0.000 0.000 0.000 [1 per cell]
W: 0.500 0.500 0.500 [1 per cell]
I: 0.000 0.500 0.500 [2 per cell]
N: 0.500 0.500 0.000 [1 per cell]

=====

DFT (PBE-GGA) results for a geometry-optimized Tb3Pm8Y2 structure.

Volume, Å³ per cell: 439
Relative energy among the computed polymorphs, meV per atom: 0
Energy relative to the elements, eV per atom: 0.0641

Cell lengths 6.167, 6.798, 12.039 Å; angles 87.52, 76.41, 63.85 degrees
Space group P-1 (No. 2)
One atom of each set of equivalent atoms:
Tb: 0.000 0.000 0.000 [1 per cell]
Tb: 0.308 0.773 0.466 [2 per cell]
Pm: 0.151 0.170 0.698 [2 per cell]
Pm: 0.227 0.312 0.387 [2 per cell]
Pm: 0.255 0.625 0.762 [2 per cell]
Pm: 0.378 0.910 0.176 [2 per cell]
Y: 0.269 0.427 0.071 [2 per cell]

=====

DFT (PBE-GGA) results for a geometry-optimized LaPmHo2 structure.

Volume, Å³ per cell: 133
Relative energy among the computed polymorphs, meV per atom: 12
Energy relative to the elements, eV per atom: 0.0265

Cell lengths 5.153, 5.153, 5.021 Å; angles 90.00, 90.00, 90.00 degrees
Space group P4/mmm (No. 123)
One atom of each set of equivalent atoms:
La: 0.000 0.000 0.000 [1 per cell]
Pm: 0.500 0.500 0.000 [1 per cell]
Ho: 0.000 0.500 0.500 [2 per cell]

=====

DFT (PBE-GGA) results for a geometry-optimized La3Pr5Sm4 structure.

Volume, Å³ per cell: 428
Relative energy among the computed polymorphs, meV per atom: 0
Energy relative to the elements, eV per atom: 0.0154

Cell lengths 6.410, 7.370, 9.066 Å; angles 90.12, 90.10, 90.04 degrees
Space group P-1 (No. 2)
One atom of each set of equivalent atoms:
La: 0.000 0.000 0.000 [1 per cell]
La: 0.166 0.749 0.666 [2 per cell]
Pr: 0.000 0.500 0.000 [1 per cell]
Pr: 0.333 0.999 0.335 [2 per cell]
Pr: 0.498 0.251 0.000 [2 per cell]
Sm: 0.168 0.252 0.665 [2 per cell]
Sm: 0.333 0.500 0.334 [2 per cell]

=====

DFT (PBE-GGA) results for a geometry-optimized Ac3Tm2Cd3 structure.

Volume, Å³ per cell: 525
Energy relative to the elements, eV per atom: -0.1966

Cell lengths 3.923, 5.740, 23.310 Å; angles 90.00, 90.00, 90.00 degrees
Space group Immm (No. 71)
One atom of each set of equivalent atoms:
Ac: 0.000 0.000 0.000 [2 per cell]
Ac: 0.000 0.500 0.126 [4 per cell]
Tm: 0.000 0.000 0.236 [4 per cell]
Cd: 0.000 0.000 0.500 [2 per cell]
Cd: 0.000 0.500 0.370 [4 per cell]

=====

DFT (PBE-GGA) results for a geometry-optimized LaPaPt4 structure.

Volume, Å³ per cell: 470
Energy relative to the elements, eV per atom: -0.9064

Cell lengths 7.776, 7.776, 7.776 Å; angles 90.00, 90.00, 90.00 degrees
Space group F-43m (No. 216)
One atom of each set of equivalent atoms:
La: 0.000 0.000 0.000 [4 per cell]
Pa: 0.250 0.250 0.750 [4 per cell]
Pt: 0.125 0.125 0.375 [16 per cell]

=====

DFT (PBE-GGA) results for a geometry-optimized BeTlRu2 structure.

Volume, Å³ per cell: 120
Relative energy among the computed polymorphs, meV per atom: 285
Energy relative to the elements, eV per atom: 0.5587

Cell lengths 3.985, 3.985, 7.543 Å; angles 90.00, 90.00, 90.00 degrees
Space group I-4m2 (No. 119)
One atom of each set of equivalent atoms:
Be: 0.000 0.000 0.000 [2 per cell]
Tl: 0.000 0.500 0.250 [2 per cell]
Ru: 0.000 0.000 0.500 [2 per cell]
Ru: 0.000 0.500 0.750 [2 per cell]

=====

DFT (PBE-GGA) results for a geometry-optimized Pm3OsPd structure.

Volume, Å³ per cell: 1026
Energy relative to the elements, eV per atom: -0.2680

Cell lengths 11.080, 11.121, 8.332 Å; angles 90.00, 91.98, 90.00 degrees
Space group C2/c (No. 15)
One atom of each set of equivalent atoms:
Pm: 0.075 0.119 0.081 [8 per cell]
Pm: 0.110 0.411 0.913 [8 per cell]
Pm: 0.240 0.176 0.675 [8 per cell]
Os: 0.220 0.048 0.367 [8 per cell]
Pd: 0.000 0.115 0.750 [4 per cell]
Pd: 0.000 0.374 0.250 [4 per cell]

=====

DFT (PBE-GGA) results for a geometry-optimized CrAgHRh2 structure.

Volume, Å³ per cell: 62
VASP energy, eV/atom: -5.996

Cell lengths 3.950, 3.950, 3.959 Å; angles 90.00, 90.00, 90.00 degrees
Space group P4/mmm (No. 123)
One atom of each set of equivalent atoms:
Cr: 0.000 0.000 0.000 [1 per cell]
Ag: 0.500 0.500 0.000 [1 per cell]
H: 0.000 0.000 0.500 [1 per cell]
Rh: 0.000 0.500 0.500 [2 per cell]

=====

DFT (PBE-GGA) results for a geometry-optimized SmHf2N structure.

Volume, Å³ per cell: 242
ΔE_f (raw), eV per atom: -0.641

Cell lengths 3.2418, 3.2418, 26.5611 Å; angles 90.00, 90.00, 120.00 degrees
Space group R-3m (No. 166, hexagonal axes)
One atom of each set of equivalent atoms:
Sm: 0.0000 0.0000 0.0000 [3 per cell]
Hf: 0.0000 0.0000 0.1205 [6 per cell]
N: 0.0000 0.0000 0.5000 [3 per cell]

=====

DFT (PBE-GGA) results for a geometry-optimized LaY2Os structure.

Volume, Å³ per cell: 112
Relative energy among the computed polymorphs, meV per atom: 96
Energy relative to the elements, eV per atom: -0.1105

Cell lengths 3.443, 3.443, 9.469 Å; angles 90.00, 90.00, 90.00 degrees
Space group P4/mmm (No. 123)
One atom of each set of equivalent atoms:
La: 0.000 0.000 0.000 [1 per cell]
Y: 0.500 0.500 0.326 [2 per cell]
Os: 0.000 0.000 0.500 [1 per cell]

=====

DFT (PBE-GGA) results for a geometry-optimized La2Al12Pd7 structure.

Volume, Å³ per cell: 368
Energy relative to the elements, eV per atom: -0.7852

Cell lengths 9.9851, 9.9851, 4.2573 Å; angles 90.00, 90.00, 120.00 degrees
Space group P-6 (No. 174)
One atom of each set of equivalent atoms:
La: 0.0000 0.0000 0.0000 [1 per cell]
La: 0.3333 0.6667 0.5000 [1 per cell]
Al: 0.0153 0.7351 0.5000 [3 per cell]
Al: 0.1498 0.3877 0.0000 [3 per cell]
Al: 0.3762 0.1701 0.0000 [3 per cell]
Al: 0.5457 0.1294 0.5000 [3 per cell]
Pd: 0.0185 0.5635 0.0000 [3 per cell]
Pd: 0.2493 0.0061 0.5000 [3 per cell]
Pd: 0.6667 0.3333 0.0000 [1 per cell]

=====

DFT (PBE-GGA) results for a geometry-optimized Na2Te4Pd5 structure.

Volume, Å³ per cell: 1124
ΔE_f (raw), eV per atom: -0.361

Cell lengths 5.762, 12.924, 15.100 Å; angles 90.00, 90.00, 90.00 degrees
Space group Fmmm (No. 69)
One atom of each set of equivalent atoms:
Na: 0.000 0.000 0.124 [8 per cell]
Te: 0.000 0.149 0.376 [16 per cell]
Pd: 0.000 0.000 0.500 [4 per cell]
Pd: 0.250 0.250 0.000 [8 per cell]
Pd: 0.250 0.250 0.250 [8 per cell]

=====

DFT (PBE-GGA) results for a geometry-optimized PRhC2 structure.

Volume, Å³ per cell: 129
Energy relative to the elements, eV per atom: 0.3941

Cell lengths 2.9518, 2.9518, 17.0409 Å; angles 90.00, 90.00, 120.00 degrees
Space group R3m (No. 160, hexagonal axes)
One atom of each set of equivalent atoms:
P: 0.0000 0.0000 0.0000 [3 per cell]
Rh: 0.0000 0.0000 0.5003 [3 per cell]
C: 0.0000 0.0000 0.3695 [3 per cell]
C: 0.0000 0.0000 0.8964 [3 per cell]

=====

DFT (PBE-GGA) results for a geometry-optimized ErLuTcAu structure.

Volume, Å³ per cell: 329
Energy relative to the elements, eV per atom: -0.4228

Cell lengths 6.902, 6.902, 6.902 Å; angles 90.00, 90.00, 90.00 degrees
Space group F-43m (No. 216)
One atom of each set of equivalent atoms:
Er: 0.000 0.000 0.000 [4 per cell]
Lu: 0.000 0.000 0.500 [4 per cell]
Tc: 0.250 0.250 0.750 [4 per cell]
Au: 0.250 0.250 0.250 [4 per cell]

=====

DFT (PBE-GGA) results for a geometry-optimized LuHfTl2 structure.

Volume, Å³ per cell: 97
Relative energy among the computed polymorphs, meV per atom: 0
Energy relative to the elements, eV per atom: -0.0044

Cell lengths 4.746, 4.746, 4.287 Å; angles 90.00, 90.00, 90.00 degrees
Space group P4/mmm (No. 123)
One atom of each set of equivalent atoms:
Lu: 0.000 0.000 0.000 [1 per cell]
Hf: 0.500 0.500 0.000 [1 per cell]
Tl: 0.000 0.500 0.500 [2 per cell]